(1)
# KLiRu (SCAN, PBEsol geometry)
data_KLiRu
_symmetry_space_group_name_H-M 'P 1'
_symmetry_Int_Tables_number 1
_cell_length_a 2.5653
_cell_length_b 4.3676
_cell_length_c 6.2119
_cell_angle_alpha 110.58
_cell_angle_beta 101.92
_cell_angle_gamma 90.00
loop_
_symmetry_equiv_pos_as_xyz
'x,y,z'
loop_
_atom_site_label
_atom_site_type_symbol
_atom_site_fract_x
_atom_site_fract_y
_atom_site_fract_z
_atom_site_occupancy
K1 K 0.9938 0.9938 0.9876 1
Li1 Li 0.7194 0.7194 0.4389 1
Ru1 Ru 0.2868 0.2868 0.5735 1
# * mass density: 3.84 g/cm³
# * ΔE to the lowest computed polymorph: 0.0 meV per atom
# * formation energy from the elements: 0.765 eV per atom

---

(2)
# Ca2Hg2Pb (SCAN, PBEsol geometry)
data_Ca2Hg2Pb
_symmetry_space_group_name_H-M 'P 1'
_symmetry_Int_Tables_number 1
_cell_length_a 5.8004
_cell_length_b 6.0751
_cell_length_c 5.8004
_cell_angle_alpha 61.48
_cell_angle_beta 90.00
_cell_angle_gamma 118.52
loop_
_symmetry_equiv_pos_as_xyz
'x,y,z'
loop_
_atom_site_label
_atom_site_type_symbol
_atom_site_fract_x
_atom_site_fract_y
_atom_site_fract_z
_atom_site_occupancy
Pb1 Pb 0.0000 0.0000 0.0000 1
Ca1 Ca 0.7500 0.5000 0.7500 1
Ca2 Ca 0.2500 0.5000 0.2500 1
Hg1 Hg 0.6499 0.2997 0.3501 1
Hg2 Hg 0.3501 0.7003 0.6499 1
# * mass density: 7.58 g/cm³
# * ΔE to the lowest computed polymorph: 235.2 meV per atom
# * formation energy from the elements: -0.410 eV per atom

---

(3)
# Zr2TeOs (SCAN, PBEsol geometry)
data_Zr2TeOs
_symmetry_space_group_name_H-M 'P 1'
_symmetry_Int_Tables_number 1
_cell_length_a 4.3516
_cell_length_b 4.3516
_cell_length_c 5.0645
_cell_angle_alpha 115.44
_cell_angle_beta 115.44
_cell_angle_gamma 90.00
loop_
_symmetry_equiv_pos_as_xyz
'x,y,z'
loop_
_atom_site_label
_atom_site_type_symbol
_atom_site_fract_x
_atom_site_fract_y
_atom_site_fract_z
_atom_site_occupancy
Os1 Os 0.5000 0.5000 0.0000 1
Te1 Te 0.0000 0.0000 0.0000 1
Zr1 Zr 0.7500 0.2500 0.5000 1
Zr2 Zr 0.2500 0.7500 0.5000 1
# * mass density: 10.91 g/cm³
# * formation energy (no corrections): -0.3138 eV/atom

---

Q: Among the records above, which one has the lowest mass density?
A: KLiRu